Entry 1:
Here is a geometry-optimized NpUReNi structure from Alexandria. Energies are from PBE.

Summary:
D(E_F) = 1.317 states/eV per atom
Total DFT energy (no corrections) = -10.663 eV per atom
DFT formation energy = -0.048 eV per atom
Total magnetization = 2.36 μB/f.u.

Cell lengths 6.417, 6.417, 6.417 Å; angles 90.00, 90.00, 90.00 degrees
Positions (direct):
Np  0.000  0.000  0.000
Np  0.000  0.500  0.500
Np  0.500  0.000  0.500
Np  0.500  0.500  0.000
U  0.250  0.250  0.250
U  0.250  0.750  0.750
U  0.750  0.250  0.750
U  0.750  0.750  0.250
Re  0.000  0.000  0.500
Re  0.000  0.500  0.000
Re  0.500  0.000  0.000
Re  0.500  0.500  0.500
Ni  0.250  0.250  0.750
Ni  0.250  0.750  0.250
Ni  0.750  0.250  0.250
Ni  0.750  0.750  0.750


Entry 2:
Here is a geometry-optimized BaCrSb3 structure from Alexandria. Energies are from PBE.

Summary:
D(E_F) = 1.203 states/eV per atom
Offset from the most stable computed form = 0 meV per atom
Total DFT energy (no corrections) = -4.937 eV per atom
Energy relative to the elements, uncorrected = -0.15 eV/atom
Total magnetization = 2.64 μB/f.u.

Cell lengths 5.312, 5.312, 5.312 Å; angles 90.00, 90.00, 90.00 degrees
Positions (direct):
Ba  0.000  0.000  0.000
Cr  0.500  0.500  0.500
Sb  0.000  0.500  0.500
Sb  0.500  0.000  0.500
Sb  0.500  0.500  0.000


Entry 3:
Here is a geometry-optimized YScNi10 structure from Alexandria. Energies are from PBE.

Summary:
D(E_F) = 1.117 states/eV per atom
Total DFT energy (no corrections) = -6.184 eV per atom
DFT formation energy = -0.300 eV per atom
Total magnetization = 2.74 μB/f.u.

Cell lengths 3.965, 4.815, 8.340 Å; angles 90.00, 90.00, 90.00 degrees
Positions (direct):
Y  0.000  0.000  0.000
Sc  0.000  0.500  0.500
Ni  0.000  0.000  0.340
Ni  0.000  0.000  0.660
Ni  0.000  0.500  0.176
Ni  0.000  0.500  0.824
Ni  0.500  0.000  0.500
Ni  0.500  0.251  0.254
Ni  0.500  0.251  0.746
Ni  0.500  0.500  0.000
Ni  0.500  0.749  0.254
Ni  0.500  0.749  0.746


Entry 4:
Here is a geometry-optimized BaIrNO2 structure from Alexandria. Energies are from PBE.

Summary:
D(E_F) = 0.978 states/eV per atom
Total DFT energy (no corrections) = -4.094 eV per atom
Energy relative to the elements, uncorrected = 1.71 eV/atom
Total magnetization = 3.84 μB/f.u.

Cell lengths 4.298, 4.298, 5.662 Å; angles 90.00, 90.00, 90.00 degrees
Positions (direct):
Ba  0.000  0.000  0.000
Ir  0.500  0.500  0.500
N  0.000  0.000  0.500
O  0.000  0.500  0.000
O  0.500  0.000  0.000


Entry 5:
Here is a geometry-optimized Be3CdIr structure from Alexandria. Energies are from PBE.

Summary:
D(E_F) = 0.531 states/eV per atom
Offset from the most stable computed form = 1119 meV per atom
Total DFT energy (no corrections) = -2.789 eV per atom
DFT formation energy = 1.402 eV per atom
Total magnetization = 0.00 μB/f.u.

Cell lengths 4.213, 4.213, 4.213 Å; angles 90.00, 90.00, 90.00 degrees
Positions (direct):
Be  0.000  0.000  0.500
Be  0.000  0.500  0.000
Be  0.500  0.000  0.000
Cd  0.000  0.000  0.000
Ir  0.500  0.500  0.500


Entry 6:
Here is a geometry-optimized ScTeNF2 structure from Alexandria. Energies are from PBE.

Summary:
D(E_F) = 0.544 states/eV per atom
Offset from the most stable computed form = 0 meV per atom
Total DFT energy (no corrections) = -5.869 eV per atom
Energy relative to the elements, uncorrected = -1.56 eV/atom
Total magnetization = 0.00 μB/f.u.

Cell lengths 3.946, 3.946, 4.885 Å; angles 90.00, 90.00, 90.00 degrees
Positions (direct):
Sc  0.000  0.000  0.000
Te  0.500  0.500  0.500
N  0.000  0.000  0.500
F  0.000  0.500  0.000
F  0.500  0.000  0.000


Entry 7:
Here is a geometry-optimized Dy4NpS5 structure from Alexandria. Energies are from PBE.

Summary:
D(E_F) = 0.910 states/eV per atom
Total DFT energy (no corrections) = -7.075 eV per atom
Energy relative to the elements, uncorrected = -1.88 eV/atom
Total magnetization = 4.37 μB/f.u.

Cell lengths 14.100, 14.100, 14.100 Å; angles 164.09, 164.09, 22.57 degrees
Positions (direct):
Dy  0.100  0.100  0.000
Dy  0.301  0.301  0.000
Dy  0.699  0.699  0.000
Dy  0.900  0.900  0.000
Np  0.500  0.500  0.000
S  0.000  0.000  0.000
S  0.200  0.200  0.000
S  0.400  0.400  0.000
S  0.600  0.600  0.000
S  0.800  0.800  0.000


Entry 8:
Here is a geometry-optimized CaCoC structure from Alexandria. Energies are from PBE.

Summary:
D(E_F) = 0.820 states/eV per atom
Offset from the most stable computed form = 288 meV per atom
Total DFT energy (no corrections) = -5.950 eV per atom
DFT formation energy = 0.160 eV per atom
Total magnetization = 0.00 μB/f.u.

Cell lengths 3.228, 3.228, 13.891 Å; angles 90.00, 90.00, 120.00 degrees
Positions (direct):
Ca  0.000  0.000  0.000
Ca  0.333  0.667  0.667
Ca  0.667  0.333  0.333
Co  0.000  0.000  0.504
Co  0.333  0.667  0.170
Co  0.667  0.333  0.837
C  0.000  0.000  0.205
C  0.333  0.667  0.872
C  0.667  0.333  0.538